The following is a DFT calculation (GGA-PBE) of a geometry-optimized Ge2Ir structure.

**Spin magnetization**: 0.000 μB/cell
**Space-group type**: Cmce
**Energy relative to the elements**: -0.25 eV per atom
**Energy**: -75.4 eV/cell
**Calculated density**: 11.0 g cm⁻³

Lattice parameters (Å, degrees): 6.527 6.527 5.920 90.00 90.00 53.71
Atoms (fractional coordinates):
Ge 0.002 0.498 0.750
Ge 0.150 0.850 0.849
Ge 0.350 0.650 0.349
Ge 0.498 0.002 0.250
Ge 0.502 0.998 0.750
Ge 0.650 0.350 0.651
Ge 0.850 0.150 0.151
Ge 0.998 0.502 0.250
Ir 0.119 0.119 0.500
Ir 0.381 0.381 0.000
Ir 0.619 0.619 0.000
Ir 0.881 0.881 0.500